Material: SiH6Br2
Method: DFT, PBE
State: relaxed

Cell and atoms, written as POSCAR:
```
SiH6Br2
1.0
2.890 -2.359 0.000
2.890 2.359 0.000
-1.678 0.000 8.347
Si H Br
1 6 2
Direct
0.000 0.000 0.000
0.099 0.592 0.900
0.232 0.232 0.902
0.408 0.901 0.100
0.592 0.099 0.900
0.768 0.768 0.098
0.901 0.408 0.100
0.379 0.379 0.373
0.621 0.621 0.627
```

Values from the calculation:
uncorrected energy = -2.80 eV/atom
space-group type = C2/m, No. 12
total magnetization = 0.000 μB/f.u.